! Fe2AgRu (PBE, relaxed); values from VASP
! formation energy from the elements	0.425	eV per atom
! SG	No. 12
! M_tot	6.20	μB per formula unit
&SYSTEM
  ibrav = 0, nat = 4, ntyp = 3
/
ATOMIC_SPECIES
Fe 55.84 Fe.upf
Ag 107.87 Ag.upf
Ru 101.07 Ru.upf
ATOMIC_POSITIONS angstrom
Fe 1.9966 0.0000 1.1414
Fe 6.0810 0.0000 3.6682
Ag -0.3779 0.0000 2.4048
Ru 4.4167 0.0000 0.0000
CELL_PARAMETERS angstrom
4.4167 -1.3317 0.0000
4.4167 1.3317 0.0000
-0.7557 0.0000 4.8096